Entry 1:
This record from the Alexandria database describes a relaxed CsAsP2Cl crystal. The functional is PBE.

Unit cell a=7.5269 b=7.5269 c=6.3122 alpha=90.00 beta=90.00 gamma=90.00
Closest atoms and distances in Å follow each position.
Space group P4/mmm (No. 123)
Inequivalent atoms, fractional coordinates:
Cs 0.0000 0.0000 0.0000 x1  2 Cl 3.16
As 0.5000 0.5000 0.5000 x1  8 P 4.91, 4 Cl 5.32
P 0.0000 0.5000 0.0000 x2  2 Cs 3.76
Cl 0.0000 0.0000 0.5000 x1  2 Cs 3.16

Output
Electronic total energy ... -2.289 eV per atom
Relative energy among the computed polymorphs ... 30.18 kcal/mol of atoms
DOS(E_F) ... 0.33 states/eV per cell

Entry 2:
This record from the Alexandria database describes a relaxed CsAsPCl2 crystal. The functional is PBE.

Unit cell a=5.5239 b=5.5239 c=4.8264 alpha=90.00 beta=90.00 gamma=90.00
Closest atoms and distances in Å follow each position.
Space group P4/mmm (No. 123)
Inequivalent atoms, fractional coordinates:
Cs 0.0000 0.0000 0.0000 x1  8 Cl 3.67, 4 P 3.91
As 0.5000 0.5000 0.5000 x1  2 P 2.41
P 0.5000 0.5000 0.0000 x1  2 As 2.41
Cl 0.0000 0.5000 0.5000 x2  2 As 2.76

Output
Electronic total energy ... -3.393 eV per atom
DOS(E_F) ... 2.91 states/eV per cell